1.
# Co2HI

A geometry-optimized Co2HI structure (GGA-PBE, the Alexandria database).

Cell lengths 4.1498, 4.1498, 4.1498 Å; angles 60.00, 60.00, 60.00 degrees
Closest atoms and distances in Å follow each position.
Fractional positions:
I 0.5000 0.5000 0.5000  8 Co 2.54
H 0.0000 0.0000 0.0000  8 Co 2.54
Co 0.2500 0.2500 0.2500  4 I 2.54, 4 H 2.54
Co 0.7500 0.7500 0.7500  4 H 2.54, 4 I 2.54

---

2.
# Co2HI

A geometry-optimized Co2HI structure (GGA-PBE, the Alexandria database).

Cell lengths 4.6509, 4.6509, 6.0876 Å; angles 67.54, 67.54, 90.00 degrees
Closest atoms and distances in Å follow each position.
Fractional positions:
H 0.5000 0.5000 0.0000  4 Co 1.78
H 0.2500 0.7500 0.5000  4 Co 1.78
I 0.7500 0.2500 0.5000  4 Co 2.57
I 0.0000 0.0000 0.0000  4 Co 2.57
Co 0.2838 0.6250 0.2500  2 H 1.78
Co 0.3750 0.5338 0.7500  2 H 1.78
Co 0.4662 0.1250 0.2500  2 H 1.78
Co 0.8750 0.7162 0.7500  2 H 1.78

---

Top of the stability list: 2, leading by 0.516 eV/atom.

---

1.
# Co3HI

A geometry-optimized Co3HI structure (GGA-PBE, the Alexandria database).

Cell lengths 4.7157, 4.7157, 4.7157 Å; angles 90.00, 90.00, 90.00 degrees
Closest atoms and distances in Å follow each position.
Fractional positions:
Co 0.0000 0.5000 0.0000  2 I 2.36
Co 0.0000 0.0000 0.5000  2 I 2.36
Co 0.5000 0.0000 0.0000  2 I 2.36
H 0.5000 0.5000 0.5000  12 Co 3.33
I 0.0000 0.0000 0.0000  6 Co 2.36

---

2.
# Co3HI

A geometry-optimized Co3HI structure (GGA-PBE, the Alexandria database).

Cell lengths 3.8178, 3.8178, 3.8178 Å; angles 90.00, 90.00, 90.00 degrees
Closest atoms and distances in Å follow each position.
Fractional positions:
Co 0.0000 0.0000 0.5000  2 H 1.91
Co 0.5000 0.0000 0.0000  2 H 1.91
Co 0.0000 0.5000 0.0000  2 H 1.91
I 0.5000 0.5000 0.5000  12 Co 2.70
H 0.0000 0.0000 0.0000  6 Co 1.91

---

Top of the stability list: 2, leading by 1.318 eV/atom.